DFT (SCAN) results for a PBEsol-optimized structure of Ti6Si7Ni16.

Structure (POSCAR):
```
Ti6Si7Ni16
1.0
7.817 0.000 0.000
3.908 6.770 0.000
3.908 2.257 6.383
Ti Si Ni
6 7 16
direct
0.202 0.798 0.202
0.798 0.798 0.202
0.202 0.202 0.798
0.798 0.202 0.202
0.202 0.798 0.798
0.798 0.202 0.798
0.500 0.500 0.500
0.500 0.000 0.500
0.500 0.000 0.000
0.000 0.500 0.500
0.000 0.500 0.000
0.500 0.500 0.000
0.000 0.000 0.500
0.166 0.166 0.166
0.498 0.834 0.834
0.618 0.618 0.618
0.618 0.618 0.147
0.618 0.147 0.618
0.382 0.382 0.853
0.382 0.853 0.382
0.382 0.382 0.382
0.147 0.618 0.618
0.166 0.502 0.166
0.166 0.166 0.502
0.834 0.498 0.834
0.834 0.834 0.498
0.834 0.834 0.834
0.502 0.166 0.166
0.853 0.382 0.382
```

Output
SG: Fm-3m (225)
uncorrected formation energy: -0.764 eV per atom

DFT (SCAN) results for a PBEsol-optimized structure of CdAs2RuSe.

Structure (POSCAR):
```
CdAs2RuSe
1.0
-0.227 4.935 -0.345
-1.268 0.276 4.779
4.849 0.312 1.268
Ru As Se Cd
1 2 1 1
direct
0.500 0.500 0.500
0.000 0.500 0.000
0.500 0.000 0.000
0.000 0.000 0.500
0.000 0.000 0.000
```

Output
SG: P4/mmm (123)
uncorrected formation energy: 1.515 eV per atom

DFT (SCAN) results for a PBEsol-optimized structure of Mg2ReRu.

Structure (POSCAR):
```
Mg2ReRu
1.0
-1.542 2.249 -1.152
-2.482 -1.097 1.182
1.176 3.947 6.133
Mg Re Ru
2 1 1
direct
0.000 0.000 0.966
0.500 0.500 0.276
0.000 0.000 0.527
0.500 0.500 0.730
```

Output
SG: P4mm (99)
polymorph energy (0 for the lowest one): 0 meV per atom
DFT formation energy: -0.01 eV per atom

DFT (SCAN) results for a PBEsol-optimized structure of Ca3Ge4Au7.

Structure (POSCAR):
```
Ca3Ge4Au7
1.0
-0.169 1.995 -3.868
-2.970 -8.210 -4.105
-12.364 3.342 2.263
Ca Ge Au
6 8 14
direct
0.000 0.001 0.188
0.000 0.999 0.812
0.500 0.499 0.688
0.500 0.501 0.312
0.000 0.000 0.500
0.500 0.500 0.000
0.000 0.356 0.184
0.000 0.644 0.816
0.500 0.144 0.684
0.500 0.856 0.316
0.000 0.273 0.377
0.000 0.727 0.623
0.500 0.227 0.877
0.500 0.773 0.123
0.000 0.197 0.003
0.000 0.803 0.997
0.500 0.303 0.503
0.500 0.697 0.497
0.000 0.261 0.639
0.000 0.739 0.361
0.500 0.239 0.139
0.500 0.761 0.861
0.500 0.000 0.000
0.000 0.500 0.500
0.000 0.615 0.160
0.000 0.385 0.840
0.500 0.885 0.660
0.500 0.115 0.340
```

Output
SG: Pnnm (58)
DFT formation energy: -0.64 eV per atom

DFT (SCAN) results for a PBEsol-optimized structure of CsNa2As2.

Structure (POSCAR):
```
CsNa2As2
1.0
5.331 0.000 0.000
0.000 5.331 0.000
-2.666 -2.666 5.089
Cs Na As
1 2 2
direct
0.000 0.000 0.000
0.250 0.750 0.500
0.750 0.250 0.500
0.383 0.383 0.766
0.617 0.617 0.234
```

Output
SG: I4/mmm (139)
DFT formation energy: -0.48 eV per atom

DFT (SCAN) results for a PBEsol-optimized structure of SbW3O.

Structure (POSCAR):
```
SbW3O
1.0
4.857 0.000 0.000
0.000 4.857 0.000
0.000 0.000 4.857
Sb O W
1 1 3
direct
0.000 0.000 0.000
0.500 0.500 0.500
0.000 0.500 0.000
0.000 0.000 0.500
0.500 0.000 0.000
```

Output
SG: Pm-3m (221)
uncorrected formation energy: 3.546 eV per atom

DFT (SCAN) results for a PBEsol-optimized structure of KFe3.

Structure (POSCAR):
```
KFe3
1.0
2.552 0.000 0.000
0.000 4.810 0.000
0.000 0.000 4.810
Fe K
3 1
direct
0.000 0.000 0.500
0.500 0.500 0.500
0.000 0.500 0.000
0.500 0.000 0.000
```

Output
SG: P4/mmm (123)
DFT formation energy: 1.32 eV per atom

DFT (SCAN) results for a PBEsol-optimized structure of KRhPb2.

Structure (POSCAR):
```
KRhPb2
1.0
-1.792 3.194 -2.561
-0.583 -0.709 -4.375
-6.834 -1.600 -1.113
K Pb Rh
1 2 1
direct
0.754 0.753 0.739
0.967 0.967 0.099
0.200 0.200 0.400
0.579 0.580 0.261
```

Output
SG: R3m (160)
DFT formation energy: -0.14 eV per atom

DFT (SCAN) results for a PBEsol-optimized structure of LiTiW2I.

Structure (POSCAR):
```
LiTiW2I
1.0
-3.112 -1.357 2.624
1.057 -4.640 -1.145
3.199 -0.184 3.700
I Li W Ti
1 1 2 1
direct
0.000 0.000 0.000
0.500 0.000 0.000
0.000 0.000 0.500
0.000 0.500 0.000
0.500 0.500 0.500
```

Output
SG: P4/mmm (123)
uncorrected formation energy: 2.080 eV per atom

DFT (SCAN) results for a PBEsol-optimized structure of NiPtN2.

Structure (POSCAR):
```
NiPtN2
1.0
3.743 0.000 0.000
1.871 3.241 0.000
1.871 1.080 3.056
Ni Pt N
1 1 2
direct
0.000 0.000 0.000
0.500 0.500 0.500
0.250 0.250 0.250
0.750 0.750 0.750
```

Output
SG: Fm-3m (225)
uncorrected formation energy: 1.450 eV per atom

DFT (SCAN) results for a PBEsol-optimized structure of HgHPd2.

Structure (POSCAR):
```
HgHPd2
1.0
-1.424 3.080 -3.925
1.952 -4.429 -1.869
-4.123 -1.089 2.956
H Hg Pd
2 2 4
direct
0.500 0.250 0.750
0.000 0.500 0.500
0.500 0.750 0.250
0.000 0.000 0.000
0.878 0.503 0.125
0.122 0.247 0.625
0.378 0.875 0.753
0.622 0.375 0.497
```

Output
SG: I-42d (122)
final energy: -34.39 eV/atom

DFT (SCAN) results for a PBEsol-optimized structure of CrFe2Ru.

Structure (POSCAR):
```
CrFe2Ru
1.0
-1.264 1.090 -1.921
-2.507 -0.362 -0.241
-2.648 6.784 3.905
Cr Fe Ru
1 2 1
direct
0.253 0.253 0.240
0.000 0.000 0.000
0.747 0.747 0.760
0.500 0.500 0.500
```

Output
SG: R3m (160)
DFT formation energy: 0.23 eV per atom

DFT (SCAN) results for a PBEsol-optimized structure of Be2AsPt.

Structure (POSCAR):
```
Be2AsPt
1.0
-2.332 -1.152 -0.834
-0.666 -0.536 2.602
-3.229 6.210 0.452
Be As Pt
2 1 1
direct
0.000 0.500 0.797
0.000 0.500 0.203
0.500 0.500 0.500
0.500 0.000 0.000
```

Output
SG: Pmmm (47)
DFT formation energy: -0.38 eV per atom

DFT (SCAN) results for a PBEsol-optimized structure of ZrHg2As.

Structure (POSCAR):
```
ZrHg2As
1.0
4.861 0.000 0.000
2.431 4.210 0.000
2.431 1.403 3.969
As Hg Zr
1 2 1
direct
0.500 0.500 0.500
0.000 0.000 0.000
0.750 0.750 0.750
0.250 0.250 0.250
```

Output
SG: F-43m (216)
DFT formation energy: -0.05 eV per atom

DFT (SCAN) results for a PBEsol-optimized structure of CdC2Cl.

Structure (POSCAR):
```
CdC2Cl
1.0
4.201 0.000 0.000
2.101 3.638 0.000
2.101 1.213 3.430
C Cl Cd
2 1 1
direct
0.250 0.250 0.250
0.750 0.750 0.750
0.000 0.000 0.000
0.500 0.500 0.500
```

Output
SG: Fm-3m (225)
uncorrected formation energy: 2.902 eV per atom

DFT (SCAN) results for a PBEsol-optimized structure of Mn2IrRh.

Structure (POSCAR):
```
Mn2IrRh
1.0
2.619 0.000 0.000
0.000 3.917 0.000
-1.310 0.000 4.718
Ir Mn Rh
1 2 1
direct
0.418 0.500 0.836
0.813 0.000 0.625
0.688 0.500 0.376
0.081 0.000 0.161
```

Output
SG: Amm2 (38)
DFT formation energy: -0.05 eV per atom

DFT (SCAN) results for a PBEsol-optimized structure of Sc2AgAu.

Structure (POSCAR):
```
Sc2AgAu
1.0
3.280 0.000 0.000
0.000 4.758 0.000
0.000 0.000 4.852
Sc Au Ag
2 1 1
direct
0.000 0.000 0.108
0.000 0.500 0.643
0.500 0.500 0.159
0.500 0.000 0.590
```

Output
SG: Pmm2 (25)
polymorph energy (0 for the lowest one): 11 meV per atom
DFT formation energy: -0.73 eV per atom

DFT (SCAN) results for a PBEsol-optimized structure of La2Tc.

Structure (POSCAR):
```
La2Tc
1.0
3.865 0.000 0.000
0.000 5.609 0.000
-1.932 0.000 7.329
La Tc
4 2
direct
0.814 0.750 0.627
0.922 0.250 0.843
0.078 0.750 0.157
0.186 0.250 0.373
0.451 0.750 0.902
0.549 0.250 0.098
```

Output
SG: Cmcm (63)
polymorph energy (0 for the lowest one): 105 meV per atom
DFT formation energy: 0.17 eV per atom

DFT (SCAN) results for a PBEsol-optimized structure of Zr3CuSb.

Structure (POSCAR):
```
Zr3CuSb
1.0
-2.159 2.624 3.938
-4.502 -2.473 -0.821
1.458 -3.749 3.297
Sb Cu Zr
1 1 3
direct
0.000 0.000 0.000
0.500 0.500 0.500
0.000 0.500 0.000
0.000 0.000 0.500
0.500 0.000 0.000
```

Output
SG: Pm-3m (221)
uncorrected formation energy: 0.974 eV per atom

DFT (SCAN) results for a PBEsol-optimized structure of PrSiGe.

Structure (POSCAR):
```
PrSiGe
1.0
-0.037 0.754 4.050
-0.956 -3.995 0.735
7.794 -0.056 -2.014
Pr Ge Si
2 2 2
direct
0.629 0.879 0.258
0.371 0.121 0.742
0.047 0.297 0.094
0.953 0.703 0.906
0.212 0.462 0.423
0.788 0.538 0.577
```

Output
SG: Imma (74)
uncorrected formation energy: -0.647 eV per atom

DFT (SCAN) results for a PBEsol-optimized structure of Li2AgBi.

Structure (POSCAR):
```
Li2AgBi
1.0
4.760 0.000 0.000
2.380 4.122 0.000
2.380 1.374 3.886
Bi Ag Li
1 1 2
direct
0.000 0.000 0.000
0.250 0.250 0.250
0.750 0.750 0.750
0.500 0.500 0.500
```

Output
SG: F-43m (216)
polymorph energy (0 for the lowest one): 0 meV per atom
DFT formation energy: -0.41 eV per atom

DFT (SCAN) results for a PBEsol-optimized structure of YZn2Ru.

Structure (POSCAR):
```
YZn2Ru
1.0
3.915 0.000 0.000
0.000 3.915 0.000
0.000 0.000 4.342
Ru Y Zn
1 1 2
direct
0.500 0.500 0.500
0.000 0.000 0.500
0.000 0.500 0.000
0.500 0.000 0.000
```

Output
SG: P4/mmm (123)
DFT formation energy: -0.16 eV per atom

DFT (SCAN) results for a PBEsol-optimized structure of SrSiP2.

Structure (POSCAR):
```
SrSiP2
1.0
6.157 0.040 0.063
-2.395 5.672 -0.063
-2.395 -2.518 5.083
Sr Si P
2 2 4
direct
0.000 0.000 0.000
0.500 0.750 0.250
0.000 0.500 0.500
0.500 0.250 0.750
0.089 0.875 0.464
0.911 0.375 0.786
0.411 0.536 0.625
0.589 0.214 0.125
```

Output
SG: I-42d (122)
uncorrected formation energy: -0.812 eV per atom

DFT (SCAN) results for a PBEsol-optimized structure of TaTlP2.

Structure (POSCAR):
```
TaTlP2
1.0
3.235 0.000 0.000
0.000 3.454 0.000
-1.617 -1.727 7.311
P Ta Tl
2 1 1
direct
0.019 0.019 0.037
0.828 0.328 0.656
0.454 0.454 0.907
0.200 0.700 0.400
```

Output
SG: Imm2 (44)
polymorph energy (0 for the lowest one): 0 meV per atom
DFT formation energy: -0.10 eV per atom

DFT (SCAN) results for a PBEsol-optimized structure of ZnAuSe2N.

Structure (POSCAR):
```
ZnAuSe2N
1.0
3.680 0.000 0.000
0.000 5.227 0.000
0.000 0.000 5.227
Zn Au Se N
1 1 2 1
direct
0.500 0.500 0.500
0.000 0.000 0.000
0.000 0.000 0.500
0.000 0.500 0.000
0.500 0.000 0.000
```

Output
SG: P4/mmm (123)
uncorrected formation energy: 0.996 eV per atom

DFT (SCAN) results for a PBEsol-optimized structure of Y2MgNiSn.

Structure (POSCAR):
```
Y2MgNiSn
1.0
4.976 0.000 0.000
0.000 5.622 0.000
0.000 0.000 5.622
Y Ni Mg Sn
2 1 1 1
direct
0.000 0.000 0.500
0.000 0.500 0.000
0.500 0.500 0.500
0.500 0.000 0.000
0.000 0.000 0.000
```

Output
SG: P4/mmm (123)
DFT formation energy: 0.64 eV per atom

DFT (SCAN) results for a PBEsol-optimized structure of Be3Pt.

Structure (POSCAR):
```
Be3Pt
1.0
3.827 0.000 0.000
1.914 3.314 0.000
1.914 1.105 3.125
Be Pt
3 1
direct
0.250 0.250 0.250
0.750 0.750 0.750
0.000 0.000 0.000
0.500 0.500 0.500
```

Output
SG: Fm-3m (225)
DFT formation energy: -0.63 eV per atom

| no. | N(E_F) (states/eV per cell) | magnetic moment (μB/atom) |
| --- | --- | --- |
| 1 | 17.940 | 0.00 |
| 2 | 3.775 | 0.35 |
| 3 | 1.997 | 0.00 |
| 4 | 10.525 | 0.00 |
| 5 | 3.151 | 0.11 |
| 6 | 4.111 | 0.21 |
| 7 | 4.000 | 2.09 |
| 8 | 3.433 | 0.00 |
| 9 | 3.431 | 0.00 |
| 10 | 3.559 | 0.26 |
| 11 | 2.483 | 0.00 |
| 12 | 4.587 | 1.17 |
| 13 | 1.033 | 0.00 |
| 14 | 2.386 | 0.00 |
| 15 | 2.912 | 0.00 |
| 16 | 3.638 | 0.00 |
| 17 | 2.608 | 0.00 |
| 18 | 5.286 | 0.00 |
| 19 | 3.440 | 0.00 |
| 20 | 2.098 | 0.00 |
| 21 | 0.213 | 0.00 |
| 22 | 2.625 | 0.00 |
| 23 | 0.000 | 0.00 |
| 24 | 1.336 | 0.00 |
| 25 | 4.019 | 0.00 |
| 26 | 4.508 | 0.00 |
| 27 | 0.605 | 0.00 |